[1]
Material: RePW2
Method: DFT, GGA-PBEsol
State: optimized geometry

```
data_RePW2
_chemical_formula_sum 'Re3 P3 W6'
_symmetry_space_group_name_H-M 'R -3 m'
_symmetry_Int_Tables_number 166
_symmetry_space_group_name_Hall '-R 3 2"'
_cell_length_a 2.8441
_cell_length_b 2.8441
_cell_length_c 24.9013
_cell_angle_alpha 90.00
_cell_angle_beta 90.00
_cell_angle_gamma 120.00
loop_
_atom_site_label
_atom_site_type_symbol
_atom_site_fract_x
_atom_site_fract_y
_atom_site_fract_z
Re1 Re 0.0000 0.0000 0.0000
P1 P 0.0000 0.0000 0.5000
W1 W 0.0000 0.0000 0.2446
```

Calculated values
* density: 16.702 g cm⁻³
* formation energy: 0.59 eV per formula unit
* total magnetic moment: 0.000 μB per formula unit
* D(E_F): 3.0 states/eV/f.u.



[2]
Material: Re2PW
Method: DFT, GGA-PBEsol
State: optimized geometry

```
data_Re2PW
_chemical_formula_sum 'Re2 P1 W1'
_symmetry_space_group_name_H-M 'P 4/m m m'
_symmetry_Int_Tables_number 123
_symmetry_space_group_name_Hall '-P 4 2'
_cell_length_a 2.888
_cell_length_b 2.888
_cell_length_c 6.679
_cell_angle_alpha 90.00
_cell_angle_beta 90.00
_cell_angle_gamma 90.00
loop_
_atom_site_label
_atom_site_type_symbol
_atom_site_fract_x
_atom_site_fract_y
_atom_site_fract_z
Re1 Re 0.000 0.000 0.218
P1 P 0.500 0.500 0.000
W1 W 0.500 0.500 0.500
```

Calculated values
* density: 17.509 g cm⁻³
* formation energy: -0.29 eV per formula unit
* total magnetic moment: 0.000 μB per formula unit
* D(E_F): 2.8 states/eV/f.u.



[3]
Material: RePW2
Method: DFT, GGA-PBEsol
State: optimized geometry

```
data_RePW2
_chemical_formula_sum 'Re2 P2 W4'
_symmetry_space_group_name_H-M 'I 4/m m m'
_symmetry_Int_Tables_number 139
_symmetry_space_group_name_Hall '-I 4 2'
_cell_length_a 3.688
_cell_length_b 3.688
_cell_length_c 8.427
_cell_angle_alpha 90.00
_cell_angle_beta 90.00
_cell_angle_gamma 90.00
loop_
_atom_site_label
_atom_site_type_symbol
_atom_site_fract_x
_atom_site_fract_y
_atom_site_fract_z
Re1 Re 0.000 0.000 0.000
P1 P 0.000 0.000 0.500
W1 W 0.000 0.500 0.250
```

Calculated values
* density: 16.944 g cm⁻³
* formation energy: 1.20 eV per formula unit
* total magnetic moment: 0.000 μB per formula unit
* D(E_F): 2.6 states/eV/f.u.



[4]
Material: Re2PW
Method: DFT, GGA-PBEsol
State: optimized geometry

```
data_Re2PW
_chemical_formula_sum 'Re2 P1 W1'
_symmetry_space_group_name_H-M 'P 4 m m'
_symmetry_Int_Tables_number 99
_symmetry_space_group_name_Hall 'P 4 -2'
_cell_length_a 2.872
_cell_length_b 2.872
_cell_length_c 6.749
_cell_angle_alpha 90.00
_cell_angle_beta 90.00
_cell_angle_gamma 90.00
loop_
_atom_site_label
_atom_site_type_symbol
_atom_site_fract_x
_atom_site_fract_y
_atom_site_fract_z
Re1 Re 0.000 0.000 0.000
Re2 Re 0.500 0.500 0.267
P1 P 0.500 0.500 0.778
W1 W 0.000 0.000 0.552
```

Calculated values
* density: 17.519 g cm⁻³
* formation energy: -0.44 eV per formula unit
* total magnetic moment: 0.000 μB per formula unit
* D(E_F): 1.8 states/eV/f.u.



[5]
Material: ReP4W
Method: DFT, GGA-PBEsol
State: optimized geometry

```
data_ReP4W
_chemical_formula_sum 'Re4 P16 W4'
_symmetry_space_group_name_H-M 'F -4 3 m'
_symmetry_Int_Tables_number 216
_symmetry_space_group_name_Hall 'F -4 2 3'
_cell_length_a 6.832
_cell_length_b 6.832
_cell_length_c 6.832
_cell_angle_alpha 90.00
_cell_angle_beta 90.00
_cell_angle_gamma 90.00
loop_
_atom_site_label
_atom_site_type_symbol
_atom_site_fract_x
_atom_site_fract_y
_atom_site_fract_z
Re1 Re 0.000 0.000 0.000
P1 P 0.125 0.125 0.625
W1 W 0.250 0.250 0.250
```

Calculated values
* density: 10.286 g cm⁻³
* formation energy: 5.29 eV per formula unit
* total magnetic moment: 0.000 μB per formula unit
* D(E_F): 4.0 states/eV/f.u.



[6]
Material: RePW2
Method: DFT, GGA-PBEsol
State: optimized geometry

```
data_RePW2
_chemical_formula_sum 'Re1 P1 W2'
_symmetry_space_group_name_H-M 'P 4/m m m'
_symmetry_Int_Tables_number 123
_symmetry_space_group_name_Hall '-P 4 2'
_cell_length_a 2.885
_cell_length_b 2.885
_cell_length_c 6.816
_cell_angle_alpha 90.00
_cell_angle_beta 90.00
_cell_angle_gamma 90.00
loop_
_atom_site_label
_atom_site_type_symbol
_atom_site_fract_x
_atom_site_fract_y
_atom_site_fract_z
Re1 Re 0.000 0.000 0.000
P1 P 0.000 0.000 0.500
W1 W 0.500 0.500 0.274
```

Calculated values
* density: 17.116 g cm⁻³
* formation energy: -0.05 eV per formula unit
* total magnetic moment: 0.000 μB per formula unit
* D(E_F): 3.1 states/eV/f.u.



[7]
Material: ReP2W
Method: DFT, GGA-PBEsol
State: optimized geometry

```
data_ReP2W
_chemical_formula_sum 'Re2 P4 W2'
_symmetry_space_group_name_H-M 'C 1 2/m 1'
_symmetry_Int_Tables_number 12
_symmetry_space_group_name_Hall '-C 2y'
_cell_length_a 7.663
_cell_length_b 2.893
_cell_length_c 5.043
_cell_angle_alpha 90.00
_cell_angle_beta 102.69
_cell_angle_gamma 90.00
loop_
_atom_site_label
_atom_site_type_symbol
_atom_site_fract_x
_atom_site_fract_y
_atom_site_fract_z
Re1 Re 0.000 0.000 0.000
P1 P 0.248 0.500 0.243
W1 W 0.000 0.500 0.500
```

Calculated values
* density: 13.155 g cm⁻³
* formation energy: -0.06 eV per formula unit
* total magnetic moment: 0.000 μB per formula unit
* D(E_F): 2.9 states/eV/f.u.



[8]
Material: RePW2
Method: DFT, GGA-PBEsol
State: optimized geometry

```
data_RePW2
_chemical_formula_sum 'Re3 P3 W6'
_symmetry_space_group_name_H-M 'R 3 m'
_symmetry_Int_Tables_number 160
_symmetry_space_group_name_Hall 'R 3 -2"'
_cell_length_a 2.8438
_cell_length_b 2.8438
_cell_length_c 24.9513
_cell_angle_alpha 90.00
_cell_angle_beta 90.00
_cell_angle_gamma 120.00
loop_
_atom_site_label
_atom_site_type_symbol
_atom_site_fract_x
_atom_site_fract_y
_atom_site_fract_z
Re1 Re 0.0000 0.0000 0.0000
P1 P 0.0000 0.0000 0.7408
W1 W 0.0000 0.0000 0.2450
W2 W 0.0000 0.0000 0.4854
```

Calculated values
* density: 16.672 g cm⁻³
* formation energy: 0.67 eV per formula unit
* total magnetic moment: 0.000 μB per formula unit
* D(E_F): 2.9 states/eV/f.u.



[9]
Material: ReP2W
Method: DFT, GGA-PBEsol
State: optimized geometry

```
data_ReP2W
_chemical_formula_sum 'Re1 P2 W1'
_symmetry_space_group_name_H-M 'P m m 2'
_symmetry_Int_Tables_number 25
_symmetry_space_group_name_Hall 'P 2 -2'
_cell_length_a 2.944
_cell_length_b 4.363
_cell_length_c 4.222
_cell_angle_alpha 90.00
_cell_angle_beta 90.00
_cell_angle_gamma 90.00
loop_
_atom_site_label
_atom_site_type_symbol
_atom_site_fract_x
_atom_site_fract_y
_atom_site_fract_z
Re1 Re 0.000 0.000 0.000
P1 P 0.000 0.500 0.256
P2 P 0.500 0.000 0.481
W1 W 0.500 0.500 0.755
```

Calculated values
* density: 13.228 g cm⁻³
* formation energy: -1.08 eV per formula unit
* total magnetic moment: 0.000 μB per formula unit
* D(E_F): 2.0 states/eV/f.u.



[10]
Material: YRe2P
Method: DFT, GGA-PBEsol
State: optimized geometry

```
data_YRe2P
_chemical_formula_sum 'Y1 Re2 P1'
_symmetry_space_group_name_H-M 'P 4/m m m'
_symmetry_Int_Tables_number 123
_symmetry_space_group_name_Hall '-P 4 2'
_cell_length_a 3.724
_cell_length_b 3.724
_cell_length_c 4.829
_cell_angle_alpha 90.00
_cell_angle_beta 90.00
_cell_angle_gamma 90.00
loop_
_atom_site_label
_atom_site_type_symbol
_atom_site_fract_x
_atom_site_fract_y
_atom_site_fract_z
Y1 Y 0.000 0.000 0.000
Re1 Re 0.000 0.500 0.500
P1 P 0.500 0.500 0.000
```

Calculated values
* density: 12.205 g cm⁻³
* formation energy: 0.64 eV per formula unit
* total magnetic moment: 0.000 μB per formula unit
* D(E_F): 2.7 states/eV/f.u.



[11]
Material: YReP2
Method: DFT, GGA-PBEsol
State: optimized geometry

```
data_YReP2
_chemical_formula_sum 'Y3 Re3 P6'
_symmetry_space_group_name_H-M 'R -3 m'
_symmetry_Int_Tables_number 166
_symmetry_space_group_name_Hall '-R 3 2"'
_cell_length_a 4.0693
_cell_length_b 4.0693
_cell_length_c 13.8597
_cell_angle_alpha 90.00
_cell_angle_beta 90.00
_cell_angle_gamma 120.00
loop_
_atom_site_label
_atom_site_type_symbol
_atom_site_fract_x
_atom_site_fract_y
_atom_site_fract_z
Y1 Y 0.0000 0.0000 0.0000
Re1 Re 0.0000 0.0000 0.5000
P1 P 0.0000 0.0000 0.2160
```

Calculated values
* density: 8.448 g cm⁻³
* formation energy: -3.27 eV per formula unit
* total magnetic moment: 0.000 μB per formula unit
* D(E_F): 1.7 states/eV/f.u.
* ΔE to the lowest computed polymorph: 0 meV per atom



[12]
Material: YReP2
Method: DFT, GGA-PBEsol
State: optimized geometry

```
data_YReP2
_chemical_formula_sum 'Y2 Re2 P4'
_symmetry_space_group_name_H-M 'I m m 2'
_symmetry_Int_Tables_number 44
_symmetry_space_group_name_Hall 'I 2 -2'
_cell_length_a 3.161
_cell_length_b 3.419
_cell_length_c 12.555
_cell_angle_alpha 90.00
_cell_angle_beta 90.00
_cell_angle_gamma 90.00
loop_
_atom_site_label
_atom_site_type_symbol
_atom_site_fract_x
_atom_site_fract_y
_atom_site_fract_z
Y1 Y 0.000 0.000 0.000
Re1 Re 0.000 0.500 0.253
P1 P 0.000 0.000 0.611
P2 P 0.000 0.500 0.830
```

Calculated values
* density: 8.251 g cm⁻³
* formation energy: -2.76 eV per formula unit
* total magnetic moment: 0.000 μB per formula unit
* D(E_F): 1.1 states/eV/f.u.
* ΔE to the lowest computed polymorph: 128 meV per atom